LiFe2Re | PBE | optimized geometry Values from VASP.

## Properties
E above lowest polymorph ... 147 meV/atom
V ... 11.75 A^3/atom
Space group ... P4/mmm (123)
Total magnetization ... 0.00 μB per formula unit

Cell and atoms, written as Quantum ESPRESSO input:
```
&SYSTEM
  ibrav = 0, nat = 4, ntyp = 3
/
ATOMIC_SPECIES
Li 6.94 Li.upf
Fe 55.84 Fe.upf
Re 186.21 Re.upf
CELL_PARAMETERS angstrom
4.0300 0.0000 0.0000
0.0000 4.0300 0.0000
0.0000 0.0000 2.8944
ATOMIC_POSITIONS crystal
Li 0.0000 0.0000 0.0000
Fe 0.0000 0.5000 0.5000
Fe 0.5000 0.0000 0.5000
Re 0.5000 0.5000 0.0000
```

ZrIr2Se | PBE | optimized geometry Values from VASP.

## Properties
V ... 17.15 A^3/atom
Space group ... Cmmm (65)
Total magnetization ... 0.00 μB per formula unit
ΔE_f (raw) ... -162 meV/atom

Cell and atoms, written as Quantum ESPRESSO input:
```
&SYSTEM
  ibrav = 0, nat = 4, ntyp = 3
/
ATOMIC_SPECIES
Zr 91.22 Zr.upf
Ir 192.22 Ir.upf
Se 78.96 Se.upf
CELL_PARAMETERS angstrom
2.8331 -3.7004 0.0000
2.8331 3.7004 0.0000
0.0000 0.0000 3.2717
ATOMIC_POSITIONS crystal
Zr 0.0000 0.0000 0.0000
Ir 0.0000 0.5000 0.5000
Ir 0.5000 0.0000 0.5000
Se 0.5000 0.5000 0.0000
```

KSc2Cu | PBE | optimized geometry Values from VASP.

## Properties
E above lowest polymorph ... 441 meV/atom
V ... 25.35 A^3/atom
Space group ... C2/m (12)
Total magnetization ... 0.00 μB per formula unit

Cell and atoms, written as Quantum ESPRESSO input:
```
&SYSTEM
  ibrav = 0, nat = 4, ntyp = 3
/
ATOMIC_SPECIES
K 39.10 K.upf
Sc 44.96 Sc.upf
Cu 63.55 Cu.upf
CELL_PARAMETERS angstrom
3.1583 -5.6736 0.0000
3.1583 5.6736 0.0000
-1.4234 0.0000 2.8298
ATOMIC_POSITIONS crystal
K 0.0000 0.0000 0.0000
Sc 0.0000 0.5000 0.5000
Sc 0.5000 0.0000 0.5000
Cu 0.5000 0.5000 0.0000
```

Question: Look up the V of the first one.
Answer: 11.75 A^3/atom

Question: The lowest V belongs to which entry?
Answer: LiFe2Re

Repeat the second record exactly.
ZrIr2Se | PBE | optimized geometry Values from VASP.

## Properties
V ... 17.15 A^3/atom
Space group ... Cmmm (65)
Total magnetization ... 0.00 μB per formula unit
ΔE_f (raw) ... -162 meV/atom

Cell and atoms, written as Quantum ESPRESSO input:
```
&SYSTEM
  ibrav = 0, nat = 4, ntyp = 3
/
ATOMIC_SPECIES
Zr 91.22 Zr.upf
Ir 192.22 Ir.upf
Se 78.96 Se.upf
CELL_PARAMETERS angstrom
2.8331 -3.7004 0.0000
2.8331 3.7004 0.0000
0.0000 0.0000 3.2717
ATOMIC_POSITIONS crystal
Zr 0.0000 0.0000 0.0000
Ir 0.0000 0.5000 0.5000
Ir 0.5000 0.0000 0.5000
Se 0.5000 0.5000 0.0000
```